The following is a GGA-PBE calculation of an optimized crystal structure of TaCrHg2, from the Alexandria database.

```
TaCrHg2
1.0
-2.306 -4.933 -1.437
-0.191 -4.293 -3.641
2.553 -4.023 1.282
Ta Hg Cr
1 2 1
direct
0.534 0.534 0.466
0.755 0.755 0.745
0.980 0.980 0.019
0.230 0.230 0.270
```

energy of formation	2.07	eV/f.u.
energy above the lowest structure with this stoichiometry	0.122	eV/atom
V	74	Å³ per cell
raw total energy	-20.014	eV for the cell shown